No. 1
Computed, not measured: a geometry-optimized TbEuSc2 structure at the PBE level of DFT.

Summary:
For the density of states at the Fermi level, the calculation gives 1.4908 states/eV/atom. The value obtained for the excess energy over the best structure of this formula in the dataset is 0 meV/atom. For the total magnetic moment, the calculation gives 8.12 μB per formula unit.

Structure (CIF):
```
data_TbEuSc2
_chemical_formula_sum 'Tb1 Eu1 Sc2'
_symmetry_space_group_name_H-M 'P 4/m m m'
_symmetry_Int_Tables_number 123
_symmetry_space_group_name_Hall '-P 4 2'
_cell_length_a 3.514
_cell_length_b 3.514
_cell_length_c 9.597
_cell_angle_alpha 90.00
_cell_angle_beta 90.00
_cell_angle_gamma 90.00
loop_
_atom_site_label
_atom_site_fract_x
_atom_site_fract_y
_atom_site_fract_z
Tb1 0.000 0.000 0.000
Eu1 0.000 0.000 0.500
Sc1 0.500 0.500 0.234
```



No. 2
Computed, not measured: a geometry-optimized TbEu2Sc structure at the PBE level of DFT.

Summary:
For the density of states at the Fermi level, the calculation gives 1.3247 states/eV/atom. The value obtained for the excess energy over the best structure of this formula in the dataset is 41 meV/atom. For the total magnetic moment, the calculation gives 14.40 μB per formula unit.

Structure (CIF):
```
data_TbEu2Sc
_chemical_formula_sum 'Tb4 Eu8 Sc4'
_symmetry_space_group_name_H-M 'F m -3 m'
_symmetry_Int_Tables_number 225
_symmetry_space_group_name_Hall '-F 4 2 3'
_cell_length_a 8.093
_cell_length_b 8.093
_cell_length_c 8.093
_cell_angle_alpha 90.00
_cell_angle_beta 90.00
_cell_angle_gamma 90.00
loop_
_atom_site_label
_atom_site_fract_x
_atom_site_fract_y
_atom_site_fract_z
Tb1 0.000 0.000 0.000
Eu1 0.250 0.250 0.250
Sc1 0.000 0.000 0.500
```



No. 3
Computed, not measured: a geometry-optimized TbEu2Sc structure at the PBE level of DFT.

Summary:
For the density of states at the Fermi level, the calculation gives 1.5103 states/eV/atom. The value obtained for the excess energy over the best structure of this formula in the dataset is 6 meV/atom. For the total magnetic moment, the calculation gives 15.39 μB per formula unit.

Structure (CIF):
```
data_TbEu2Sc
_chemical_formula_sum 'Tb1 Eu2 Sc1'
_symmetry_space_group_name_H-M 'P 4/m m m'
_symmetry_Int_Tables_number 123
_symmetry_space_group_name_Hall '-P 4 2'
_cell_length_a 5.051
_cell_length_b 5.051
_cell_length_c 5.206
_cell_angle_alpha 90.00
_cell_angle_beta 90.00
_cell_angle_gamma 90.00
loop_
_atom_site_label
_atom_site_fract_x
_atom_site_fract_y
_atom_site_fract_z
Tb1 0.000 0.000 0.000
Eu1 0.000 0.500 0.500
Sc1 0.500 0.500 0.000
```



No. 4
Computed, not measured: a geometry-optimized TbEuSc2 structure at the PBE level of DFT.

Summary:
For the density of states at the Fermi level, the calculation gives 1.6383 states/eV/atom. The value obtained for the excess energy over the best structure of this formula in the dataset is 41 meV/atom. For the total magnetic moment, the calculation gives 6.89 μB per formula unit.

Structure (CIF):
```
data_TbEuSc2
_chemical_formula_sum 'Tb1 Eu1 Sc2'
_symmetry_space_group_name_H-M 'P 4/m m m'
_symmetry_Int_Tables_number 123
_symmetry_space_group_name_Hall '-P 4 2'
_cell_length_a 5.498
_cell_length_b 5.498
_cell_length_c 3.858
_cell_angle_alpha 90.00
_cell_angle_beta 90.00
_cell_angle_gamma 90.00
loop_
_atom_site_label
_atom_site_fract_x
_atom_site_fract_y
_atom_site_fract_z
Tb1 0.000 0.000 0.000
Eu1 0.500 0.500 0.000
Sc1 0.000 0.500 0.500
```



No. 5
Computed, not measured: a geometry-optimized EuSc2Tc structure at the PBE level of DFT.

Summary:
For the density of states at the Fermi level, the calculation gives 1.4563 states/eV/atom. For the total magnetic moment, the calculation gives 7.91 μB per formula unit.

Structure (CIF):
```
data_EuSc2Tc
_chemical_formula_sum 'Eu1 Sc2 Tc1'
_symmetry_space_group_name_H-M 'P 4/m m m'
_symmetry_Int_Tables_number 123
_symmetry_space_group_name_Hall '-P 4 2'
_cell_length_a 3.333
_cell_length_b 3.333
_cell_length_c 8.735
_cell_angle_alpha 90.00
_cell_angle_beta 90.00
_cell_angle_gamma 90.00
loop_
_atom_site_label
_atom_site_fract_x
_atom_site_fract_y
_atom_site_fract_z
Eu1 0.000 0.000 0.000
Sc1 0.500 0.500 0.329
Tc1 0.000 0.000 0.500
```



No. 6
Computed, not measured: a geometry-optimized EuScTe2 structure at the PBE level of DFT.

Summary:
For the density of states at the Fermi level, the calculation gives 0.5733 states/eV/atom. For the raw formation energy, the calculation gives -1.383 eV per atom. For the total magnetic moment, the calculation gives 6.94 μB per formula unit.

Structure (CIF):
```
data_EuScTe2
_chemical_formula_sum 'Eu3 Sc3 Te6'
_symmetry_space_group_name_H-M 'R -3 m'
_symmetry_Int_Tables_number 166
_symmetry_space_group_name_Hall '-R 3 2"'
_cell_length_a 4.3414
_cell_length_b 4.3414
_cell_length_c 21.7498
_cell_angle_alpha 90.00
_cell_angle_beta 90.00
_cell_angle_gamma 120.00
loop_
_atom_site_label
_atom_site_fract_x
_atom_site_fract_y
_atom_site_fract_z
Eu1 0.0000 0.0000 0.0000
Sc1 0.0000 0.0000 0.5000
Te1 0.0000 0.0000 0.2412
```



No. 7
Computed, not measured: a geometry-optimized EuThSc2 structure at the PBE level of DFT.

Summary:
For the density of states at the Fermi level, the calculation gives 1.2355 states/eV/atom. The value obtained for the excess energy over the best structure of this formula in the dataset is 10 meV/atom. For the total magnetic moment, the calculation gives 7.28 μB per formula unit.

Structure (CIF):
```
data_EuThSc2
_chemical_formula_sum 'Eu3 Th3 Sc6'
_symmetry_space_group_name_H-M 'R -3 m'
_symmetry_Int_Tables_number 166
_symmetry_space_group_name_Hall '-R 3 2"'
_cell_length_a 3.4961
_cell_length_b 3.4961
_cell_length_c 33.3149
_cell_angle_alpha 90.00
_cell_angle_beta 90.00
_cell_angle_gamma 120.00
loop_
_atom_site_label
_atom_site_fract_x
_atom_site_fract_y
_atom_site_fract_z
Eu1 0.0000 0.0000 0.0000
Th1 0.0000 0.0000 0.5000
Sc1 0.0000 0.0000 0.2451
```



No. 8
Computed, not measured: a geometry-optimized EuTh2Sc structure at the PBE level of DFT.

Summary:
For the density of states at the Fermi level, the calculation gives 1.2406 states/eV/atom. For the total magnetic moment, the calculation gives 7.17 μB per formula unit.

Structure (CIF):
```
data_EuTh2Sc
_chemical_formula_sum 'Eu1 Th2 Sc1'
_symmetry_space_group_name_H-M 'P 4/m m m'
_symmetry_Int_Tables_number 123
_symmetry_space_group_name_Hall '-P 4 2'
_cell_length_a 5.048
_cell_length_b 5.048
_cell_length_c 4.874
_cell_angle_alpha 90.00
_cell_angle_beta 90.00
_cell_angle_gamma 90.00
loop_
_atom_site_label
_atom_site_fract_x
_atom_site_fract_y
_atom_site_fract_z
Eu1 0.000 0.000 0.000
Th1 0.000 0.500 0.500
Sc1 0.500 0.500 0.000
```



no.,E (eV per atom)
1,-6.768
2,-7.669
3,-7.704
4,-6.727
5,-8.401
6,-7.106
7,-7.493
8,-7.698